Computed, not measured: an optimized crystal structure of In2GaTeO8 at the PBE level of DFT.

a = 4.8408 Å, b = 4.8397 Å, c = 6.4166 Å
α = 90.00°, β = 90.00°, γ = 92.59°
Each line ends with the local moment (μB).
Positions (direct):
O (0.1806, 0.8184, 0.2354)  0.09
O (0.8194, 0.1816, 0.2354)  0.09
O (0.2864, 0.2855, 0.5000)  0.18
O (0.8194, 0.1816, 0.7646)  0.09
O (0.1806, 0.8184, 0.7646)  0.09
O (0.2904, 0.2891, 0.0000)  0.06
In (0.5000, 0.5000, 0.7459)  -0.01
Ga (0.0000, 0.0000, 0.5000)  -0.01
O (0.7096, 0.7109, 0.0000)  0.06
O (0.7136, 0.7145, 0.5000)  0.18
In (0.5000, 0.5000, 0.2541)  -0.01
Te (0.0000, 0.0000, 0.0000)  -0.01

Computed properties:
Raw formation energy: -1.254 eV per atom
Spin magnetization: 0.080 μB/atom
Raw total energy: -5.5302 eV/atom

Computed, not measured: an optimized crystal structure of InGaTeO6 at the PBE level of DFT.

a = 5.1528 Å, b = 5.1528 Å, c = 9.3195 Å
α = 90.00°, β = 90.00°, γ = 120.00°
Positions (direct):
O (0.6464, 0.0071, 0.8652)
O (0.9929, 0.6393, 0.8652)
Te (0.3333, 0.6667, 0.2500)
O (0.3536, 0.3607, 0.3652)
O (0.6393, 0.6464, 0.1348)
Ga (0.6667, 0.3333, 0.2500)
O (0.0071, 0.3607, 0.1348)
O (0.3607, 0.0071, 0.6348)
O (0.3536, 0.9929, 0.1348)
O (0.0071, 0.6464, 0.3652)
O (0.6393, 0.9929, 0.3652)
O (0.3607, 0.3536, 0.8652)
O (0.6464, 0.6393, 0.6348)
Te (0.6667, 0.3333, 0.7500)
In (0.0000, 0.0000, 0.0000)
O (0.9929, 0.3536, 0.6348)
Ga (0.3333, 0.6667, 0.7500)
In (0.0000, 0.0000, 0.5000)

Computed properties:
Raw formation energy: -1.401 eV per atom
Spin magnetization: 0.000 μB/atom
Raw total energy: -5.6957 eV/atom

Computed, not measured: an optimized crystal structure of TiIn2GaO6 at the PBE level of DFT.

a = 5.3868 Å, b = 5.3869 Å, c = 5.6374 Å
α = 61.46°, β = 61.46°, γ = 60.00°
Each line ends with the local moment (μB).
Positions (direct):
O (0.9551, 0.5932, 0.2613)  -0.01
O (0.1903, 0.9551, 0.2613)  -0.01
O (0.5932, 0.1903, 0.2613)  -0.01
Ga (0.8102, 0.8102, 0.5694)  0.02
O (0.4531, 0.6901, 0.7597)  0.00
In (0.0320, 0.0320, 0.9041)  0.03
O (0.0971, 0.4531, 0.7597)  0.00
In (0.5292, 0.5292, 0.4123)  0.03
Ti (0.3112, 0.3112, 0.0663)  0.57
O (0.6901, 0.0971, 0.7597)  0.00

Computed properties:
Raw formation energy: -1.891 eV per atom
Spin magnetization: 0.070 μB/atom
Raw total energy: -6.5056 eV/atom